1.
{
  "formula": "MgAsP2",
  "functional": "PBEsol",
  "state": "optimized geometry",
  "lattice": [[-2.160, 2.160, 3.572], [2.160, -2.160, 3.572], [2.160, 2.160, -3.572]],
  "species": ["Mg", "As", "P", "P"],
  "fractional_positions": [[0.000, 0.000, 0.000], [0.500, 0.500, 0.000], [0.250, 0.750, 0.500], [0.750, 0.250, 0.500]],
  "mass_density_g_cm3": 4.013,
  "relative_energy_mev_per_atom": 289,
  "sg": "No. 139",
  "formation_enthalpy_0k_ev_per_atom": 0.2227
}



2.
{
  "formula": "Mg2As2Pb",
  "functional": "PBEsol",
  "state": "optimized geometry",
  "lattice": [[-2.127, 2.127, 6.373], [2.127, -2.127, 6.373], [2.127, 2.127, -6.373]],
  "species": ["Mg", "Mg", "As", "As", "Pb"],
  "fractional_positions": [[0.250, 0.750, 0.500], [0.750, 0.250, 0.500], [0.122, 0.122, 0.000], [0.878, 0.878, 0.000], [0.500, 0.500, 0.000]],
  "mass_density_g_cm3": 5.842,
  "relative_energy_mev_per_atom": 14,
  "sg": "No. 139",
  "formation_enthalpy_0k_ev_per_atom": -0.2543
}



3.
{
  "formula": "MgAs4Pb",
  "functional": "PBEsol",
  "state": "optimized geometry",
  "lattice": [[0.000, 4.004, 4.004], [4.004, 0.000, 4.004], [4.004, 4.004, 0.000]],
  "species": ["Mg", "As", "As", "As", "As", "Pb"],
  "fractional_positions": [[0.000, 0.000, 0.000], [0.375, 0.375, 0.375], [0.375, 0.375, 0.876], [0.375, 0.876, 0.375], [0.876, 0.375, 0.375], [0.750, 0.750, 0.750]],
  "mass_density_g_cm3": 6.869,
  "sg": "No. 216",
  "formation_enthalpy_0k_ev_per_atom": 0.1766
}



4.
{
  "formula": "MgAsPb",
  "functional": "PBEsol",
  "state": "optimized geometry",
  "lattice": [[-1.624, 1.950, 5.601], [1.624, -1.950, 5.601], [1.624, 1.950, -5.601]],
  "species": ["Mg", "As", "Pb"],
  "fractional_positions": [[0.000, 0.000, 0.000], [0.587, 0.587, 0.000], [0.306, 0.306, 0.000]],
  "mass_density_g_cm3": 7.173,
  "relative_energy_mev_per_atom": 38,
  "sg": "No. 44",
  "formation_enthalpy_0k_ev_per_atom": -0.0921
}



5.
{
  "formula": "Mg4AsPb",
  "functional": "PBEsol",
  "state": "optimized geometry",
  "lattice": [[0.000, 4.079, 4.079], [4.079, 0.000, 4.079], [4.079, 4.079, 0.000]],
  "species": ["Mg", "Mg", "Mg", "Mg", "As", "Pb"],
  "fractional_positions": [[0.125, 0.125, 0.125], [0.125, 0.125, 0.626], [0.125, 0.626, 0.125], [0.626, 0.125, 0.125], [0.750, 0.750, 0.750], [0.500, 0.500, 0.500]],
  "mass_density_g_cm3": 4.639,
  "sg": "No. 216",
  "formation_enthalpy_0k_ev_per_atom": 0.0828
}



6.
{
  "formula": "Mg2As2Pb",
  "functional": "PBEsol",
  "state": "optimized geometry",
  "lattice": [[8.199, 0.000, 0.000], [0.000, 8.199, 0.000], [0.000, 0.000, 3.209]],
  "species": ["Mg", "Mg", "Mg", "Mg", "As", "As", "As", "As", "Pb", "Pb"],
  "fractional_positions": [[0.138, 0.362, 0.000], [0.362, 0.862, 0.000], [0.638, 0.138, 0.000], [0.862, 0.638, 0.000], [0.158, 0.658, 0.500], [0.342, 0.158, 0.500], [0.658, 0.842, 0.500], [0.842, 0.342, 0.500], [0.000, 0.000, 0.500], [0.500, 0.500, 0.500]],
  "mass_density_g_cm3": 6.246,
  "relative_energy_mev_per_atom": 0,
  "sg": "No. 127",
  "formation_enthalpy_0k_ev_per_atom": -0.2686
}



7.
{
  "formula": "MgAsPb",
  "functional": "PBEsol",
  "state": "optimized geometry",
  "lattice": [[4.133, 0.000, 0.000], [-2.067, 3.579, 0.000], [0.000, 0.000, 5.150]],
  "species": ["Mg", "As", "Pb"],
  "fractional_positions": [[0.000, 0.000, 0.000], [0.667, 0.333, 0.222], [0.333, 0.667, 0.562]],
  "mass_density_g_cm3": 6.679,
  "relative_energy_mev_per_atom": 0,
  "sg": "No. 156",
  "formation_enthalpy_0k_ev_per_atom": -0.1302
}



8.
{
  "formula": "MgAs2Pt",
  "functional": "PBEsol",
  "state": "optimized geometry",
  "lattice": [[2.193, -2.220, 0.000], [2.193, 2.220, 0.000], [0.000, 0.000, 7.181]],
  "species": ["Mg", "As", "As", "Pt"],
  "fractional_positions": [[0.000, 0.000, 0.000], [0.500, 0.500, 0.273], [0.500, 0.500, 0.727], [0.000, 0.000, 0.500]],
  "mass_density_g_cm3": 8.766,
  "sg": "No. 65",
  "formation_enthalpy_0k_ev_per_atom": -0.0939
}